This record from the Alexandria database describes a relaxed CrSnO4 crystal. The functional is GGA+U.

Unit cell a=4.666 b=5.588 c=5.575 alpha=111.51 beta=90.00 gamma=90.00
Each line ends with the local moment (μB).
Element x y z (fractional)
Cr: 0.500 0.000 0.500  2.32
Cr: 0.000 0.500 0.500  2.32
O: 0.792 0.161 0.364  -0.14
O: 0.708 0.661 0.364  -0.14
O: 0.292 0.339 0.636  -0.14
O: 0.675 0.139 0.839  -0.03
O: 0.325 0.861 0.161  -0.03
O: 0.175 0.361 0.161  -0.03
O: 0.208 0.839 0.636  -0.14
O: 0.825 0.639 0.839  -0.03
Sn: 0.500 0.500 0.000  0.03
Sn: 0.000 0.000 0.000  0.03

Output
Raw total energy in eV/atom: -6.799
Crystal system: monoclinic